## TbEr6Co3 (PBE)

Data for an optimized crystal structure of TbEr6Co3.

Lattice parameters (Å, degrees): 8.290 8.290 7.163 90.00 90.00 93.39
Atoms (fractional coordinates):
Tb 0.188 0.812 0.500
Tb 0.812 0.188 0.000
Er 0.001 0.500 0.751
Er 0.168 0.832 0.001
Er 0.215 0.215 0.000
Er 0.215 0.215 0.500
Er 0.497 0.503 0.750
Er 0.500 0.001 0.251
Er 0.500 0.999 0.751
Er 0.503 0.497 0.250
Er 0.785 0.785 0.000
Er 0.785 0.785 0.500
Er 0.832 0.168 0.501
Er 0.999 0.500 0.251
Co 0.000 0.000 0.250
Co 0.000 0.000 0.750
Co 0.250 0.529 0.003
Co 0.471 0.750 0.003
Co 0.529 0.250 0.503
Co 0.750 0.471 0.503

Calculated values
Energy relative to the elements, eV/atom: -0.08
Raw total energy, eV per cell: -108.3
SG: No. 36